1.
# YMn2Ge2 | Alexandria | PBE | relaxed
data_YMn2Ge2
_chemical_formula_sum 'Y1 Mn2 Ge2'
_cell_length_a 3.9388
_cell_length_b 3.9388
_cell_length_c 6.0974
_cell_angle_alpha 108.84
_cell_angle_beta 108.84
_cell_angle_gamma 90.00
_symmetry_space_group_name_H-M 'P 1'
_symmetry_Int_Tables_number 1
loop_
_symmetry_equiv_pos_as_xyz
'x,y,z'
loop_
_atom_site_label
_atom_site_fract_x
_atom_site_fract_y
_atom_site_fract_z
Ge1 0.3807 0.3807 0.7613
Ge2 0.6193 0.6193 0.2387
Y1 0.0000 0.0000 0.0000
Mn1 0.2500 0.7500 0.5000
Mn2 0.7500 0.2500 0.5000
# - Theoretical density: 6.79 g cm⁻³
# - Total magnetic moment: 0.811 μB/atom
# - Space group: No. 139
# - Formation energy from the elements: -0.48 eV/atom

=====

2.
# KMg2Al | Alexandria | PBE | relaxed
data_KMg2Al
_chemical_formula_sum 'K1 Mg2 Al1'
_cell_length_a 4.6657
_cell_length_b 4.9070
_cell_length_c 4.9070
_cell_angle_alpha 90.00
_cell_angle_beta 90.00
_cell_angle_gamma 90.00
_symmetry_space_group_name_H-M 'P 1'
_symmetry_Int_Tables_number 1
loop_
_symmetry_equiv_pos_as_xyz
'x,y,z'
loop_
_atom_site_label
_atom_site_fract_x
_atom_site_fract_y
_atom_site_fract_z
K1 0.5000 0.0000 0.5000
Al1 0.5000 0.5000 0.0000
Mg1 0.0000 0.5000 0.5000
Mg2 0.0000 0.0000 0.0000
# - Theoretical density: 1.70 g cm⁻³
# - Total magnetic moment: 0.000 μB/atom
# - Space group: No. 123
# - Formation energy from the elements: 0.35 eV/atom

=====

3.
# FeCoSb2 | Alexandria | PBE | relaxed
data_FeCoSb2
_chemical_formula_sum 'Fe1 Co1 Sb2'
_cell_length_a 4.5514
_cell_length_b 4.5514
_cell_length_c 4.5514
_cell_angle_alpha 60.00
_cell_angle_beta 60.00
_cell_angle_gamma 60.00
_symmetry_space_group_name_H-M 'P 1'
_symmetry_Int_Tables_number 1
loop_
_symmetry_equiv_pos_as_xyz
'x,y,z'
loop_
_atom_site_label
_atom_site_fract_x
_atom_site_fract_y
_atom_site_fract_z
Sb1 0.7500 0.7500 0.7500
Fe1 0.0000 0.0000 0.0000
Co1 0.5000 0.5000 0.5000
Sb2 0.2500 0.2500 0.2500
# - Theoretical density: 8.92 g cm⁻³
# - Total magnetic moment: 0.663 μB/atom
# - Space group: No. 225
# - Energy relative to the elements, uncorrected: 301.4 meV per atom

=====

4.
# PaB4Mo | Alexandria | PBE | relaxed
data_PaB4Mo
_chemical_formula_sum 'Pa2 B8 Mo2'
_cell_length_a 3.7244
_cell_length_b 5.9833
_cell_length_c 5.9833
_cell_angle_alpha 103.86
_cell_angle_beta 90.00
_cell_angle_gamma 90.00
_symmetry_space_group_name_H-M 'P 1'
_symmetry_Int_Tables_number 1
loop_
_symmetry_equiv_pos_as_xyz
'x,y,z'
loop_
_atom_site_label
_atom_site_fract_x
_atom_site_fract_y
_atom_site_fract_z
B1 0.5000 0.6191 0.9360
B2 0.5000 0.3809 0.0640
Pa1 0.0000 0.3015 0.6985
B3 0.5000 0.9082 0.0918
Mo1 0.0000 0.1805 0.1805
B4 0.5000 0.6221 0.6221
Pa2 0.0000 0.6985 0.3015
B5 0.5000 0.9360 0.6191
B6 0.5000 0.0640 0.3809
B7 0.5000 0.0918 0.9082
Mo2 0.0000 0.8195 0.8195
B8 0.5000 0.3779 0.3779
# - Theoretical density: 9.50 g cm⁻³
# - Total magnetic moment: 0.000 μB/atom
# - ΔE to the lowest computed polymorph: 0.000 eV/atom
# - Space group: No. 65
# - Formation energy from the elements: -0.63 eV/atom

=====

5.
# CdNi2W | Alexandria | PBE | relaxed
data_CdNi2W
_chemical_formula_sum 'Cd1 Ni2 W1'
_cell_length_a 4.2612
_cell_length_b 2.6919
_cell_length_c 5.1467
_cell_angle_alpha 74.87
_cell_angle_beta 90.00
_cell_angle_gamma 90.00
_symmetry_space_group_name_H-M 'P 1'
_symmetry_Int_Tables_number 1
loop_
_symmetry_equiv_pos_as_xyz
'x,y,z'
loop_
_atom_site_label
_atom_site_fract_x
_atom_site_fract_y
_atom_site_fract_z
W1 0.0000 0.4673 0.4423
Cd1 0.5000 0.7884 0.7969
Ni1 0.5000 0.0508 0.2736
Ni2 0.0000 0.1934 0.9872
# - Theoretical density: 12.05 g cm⁻³
# - Total magnetic moment: 0.000 μB/atom
# - Space group: No. 38
# - Formation energy from the elements: 0.23 eV/atom

=====

6.
# Er5Zn2Bi | Alexandria | PBE | relaxed
data_Er5Zn2Bi
_chemical_formula_sum 'Er10 Zn4 Bi2'
_cell_length_a 8.0973
_cell_length_b 8.0973
_cell_length_c 8.5683
_cell_angle_alpha 118.20
_cell_angle_beta 118.20
_cell_angle_gamma 90.00
_symmetry_space_group_name_H-M 'P 1'
_symmetry_Int_Tables_number 1
loop_
_symmetry_equiv_pos_as_xyz
'x,y,z'
loop_
_atom_site_label
_atom_site_fract_x
_atom_site_fract_y
_atom_site_fract_z
Er1 0.5097 0.7062 0.7159
Er2 0.0000 0.0000 0.0000
Zn1 0.3593 0.8593 0.0000
Bi1 0.7500 0.7500 0.5000
Zn2 0.1407 0.3593 0.0000
Bi2 0.2500 0.2500 0.5000
Er3 0.9903 0.4903 0.2841
Er4 0.5000 0.5000 0.0000
Er5 0.7938 0.9903 0.2841
Zn3 0.8593 0.6407 0.0000
Er6 0.2938 0.7938 0.2841
Er7 0.7062 0.2062 0.7159
Er8 0.4903 0.2938 0.2841
Zn4 0.6407 0.1407 0.0000
Er9 0.0097 0.5097 0.7159
Er10 0.2062 0.0097 0.7159
# - Theoretical density: 9.35 g cm⁻³
# - Total magnetic moment: 0.000 μB/atom
# - Space group: No. 140
# - Formation energy from the elements: -0.41 eV/atom

=====

7.
# NdSmEr4 | Alexandria | PBE | relaxed
data_NdSmEr4
_chemical_formula_sum 'Nd1 Sm1 Er4'
_cell_length_a 5.0086
_cell_length_b 7.9541
_cell_length_c 11.2572
_cell_angle_alpha 148.07
_cell_angle_beta 89.98
_cell_angle_gamma 108.38
_symmetry_space_group_name_H-M 'P 1'
_symmetry_Int_Tables_number 1
loop_
_symmetry_equiv_pos_as_xyz
'x,y,z'
loop_
_atom_site_label
_atom_site_fract_x
_atom_site_fract_y
_atom_site_fract_z
Nd1 0.4999 0.9999 0.5000
Er1 0.3339 0.6685 0.0017
Er2 0.6660 0.3315 0.9983
Er3 0.1666 0.3327 0.4983
Er4 0.8334 0.6672 0.5017
Sm1 0.0000 0.0000 0.0000
# - Theoretical density: 8.40 g cm⁻³
# - Total magnetic moment: 0.000 μB/atom
# - ΔE to the lowest computed polymorph: 0.000 eV/atom
# - Space group: No. 12
# - Formation energy from the elements: 0.02 eV/atom

=====

8.
# SrWS2 | Alexandria | PBE | relaxed
data_SrWS2
_chemical_formula_sum 'Sr1 W1 S2'
_cell_length_a 8.5779
_cell_length_b 8.5779
_cell_length_c 8.5779
_cell_angle_alpha 25.40
_cell_angle_beta 25.40
_cell_angle_gamma 25.40
_symmetry_space_group_name_H-M 'P 1'
_symmetry_Int_Tables_number 1
loop_
_symmetry_equiv_pos_as_xyz
'x,y,z'
loop_
_atom_site_label
_atom_site_fract_x
_atom_site_fract_y
_atom_site_fract_z
W1 0.0000 0.0000 0.0000
S1 0.0910 0.0910 0.0910
Sr1 0.5000 0.5000 0.5000
S2 0.9090 0.9090 0.9090
# - Theoretical density: 5.45 g cm⁻³
# - Total magnetic moment: 0.000 μB/atom
# - ΔE to the lowest computed polymorph: 0.510 eV/atom
# - Space group: No. 166
# - Energy relative to the elements, uncorrected: -51.6 meV per atom

=====

9.
# TaCdP2 | Alexandria | PBE | relaxed
data_TaCdP2
_chemical_formula_sum 'Ta2 Cd2 P4'
_cell_length_a 5.9096
_cell_length_b 5.9096
_cell_length_c 6.9615
_cell_angle_alpha 64.88
_cell_angle_beta 64.88
_cell_angle_gamma 90.00
_symmetry_space_group_name_H-M 'P 1'
_symmetry_Int_Tables_number 1
loop_
_symmetry_equiv_pos_as_xyz
'x,y,z'
loop_
_atom_site_label
_atom_site_fract_x
_atom_site_fract_y
_atom_site_fract_z
Cd1 0.2500 0.7500 0.5000
P1 0.0948 0.6250 0.2500
Ta1 0.0000 0.0000 0.0000
Cd2 0.5000 0.5000 0.0000
P2 0.6552 0.1250 0.2500
P3 0.8750 0.9052 0.7500
P4 0.3750 0.3448 0.7500
Ta2 0.7500 0.2500 0.5000
# - Theoretical density: 6.07 g cm⁻³
# - Total magnetic moment: 0.000 μB/atom
# - Space group: No. 122
# - Formation energy from the elements: 0.00 eV/atom

=====

10.
# TiCuRh | Alexandria | PBE | relaxed
data_TiCuRh
_chemical_formula_sum 'Ti1 Cu1 Rh1'
_cell_length_a 2.7630
_cell_length_b 4.2189
_cell_length_c 4.2189
_cell_angle_alpha 120.00
_cell_angle_beta 90.00
_cell_angle_gamma 90.00
_symmetry_space_group_name_H-M 'P 1'
_symmetry_Int_Tables_number 1
loop_
_symmetry_equiv_pos_as_xyz
'x,y,z'
loop_
_atom_site_label
_atom_site_fract_x
_atom_site_fract_y
_atom_site_fract_z
Ti1 0.9792 0.0000 0.0000
Rh1 0.7038 0.3333 0.6667
Cu1 0.3171 0.6667 0.3333
# - Theoretical density: 8.36 g cm⁻³
# - Total magnetic moment: 0.000 μB/atom
# - ΔE to the lowest computed polymorph: 0.114 eV/atom
# - Space group: No. 156
# - Formation energy from the elements: -0.37 eV/atom

=====

11.
# Ba2PdPbCl | Alexandria | PBE | relaxed
data_Ba2PdPbCl
_chemical_formula_sum 'Ba2 Pd1 Pb1 Cl1'
_cell_length_a 6.6864
_cell_length_b 5.3959
_cell_length_c 6.6864
_cell_angle_alpha 90.00
_cell_angle_beta 90.00
_cell_angle_gamma 90.00
_symmetry_space_group_name_H-M 'P 1'
_symmetry_Int_Tables_number 1
loop_
_symmetry_equiv_pos_as_xyz
'x,y,z'
loop_
_atom_site_label
_atom_site_fract_x
_atom_site_fract_y
_atom_site_fract_z
Ba1 0.0000 0.0000 0.5000
Cl1 0.0000 0.5000 0.0000
Pd1 0.5000 0.5000 0.5000
Pb1 0.0000 0.0000 0.0000
Ba2 0.5000 0.0000 0.0000
# - Theoretical density: 4.29 g cm⁻³
# - Total magnetic moment: 0.000 μB/atom
# - Space group: No. 123
# - Energy relative to the elements, uncorrected: -95.3 meV per atom

=====

12.
# TbI4 | Alexandria | PBE | relaxed
data_TbI4
_chemical_formula_sum 'Tb1 I4'
_cell_length_a 6.0529
_cell_length_b 6.0529
_cell_length_c 6.0529
_cell_angle_alpha 90.00
_cell_angle_beta 90.00
_cell_angle_gamma 90.00
_symmetry_space_group_name_H-M 'P 1'
_symmetry_Int_Tables_number 1
loop_
_symmetry_equiv_pos_as_xyz
'x,y,z'
loop_
_atom_site_label
_atom_site_fract_x
_atom_site_fract_y
_atom_site_fract_z
I1 0.0000 0.5000 0.5000
Tb1 0.5000 0.5000 0.5000
I2 0.5000 0.0000 0.5000
I3 0.5000 0.5000 0.0000
I4 0.0000 0.0000 0.0000
# - Theoretical density: 4.99 g cm⁻³
# - Total magnetic moment: 0.208 μB/atom
# - Space group: No. 221
# - Energy relative to the elements, uncorrected: -791.1 meV per atom